# 1
Co2CuCl: optimized geometry, GGA-PBE.

Results
Polymorph energy (0 for the lowest one) = 230 meV per atom
E_form (uncorrected) = 438 meV/atom

Cell: 7.721 7.721 7.721 Å, 21.08 21.08 21.08°
Fractional coordinates of all 4 atoms:
Co  0.248  0.248  0.248
Co  0.752  0.752  0.752
Cu  0.000  0.000  0.000
Cl  0.500  0.500  0.500

***

# 2
La2AgIrPb: optimized geometry, GGA-PBE.

Results
DFT formation energy = -0.3155 eV per atom

Cell: 5.455 5.455 5.215 Å, 90.00 90.00 90.00°
Fractional coordinates of all 5 atoms:
La  0.000  0.500  0.000
La  0.500  0.000  0.000
Ag  0.000  0.000  0.500
Ir  0.000  0.000  0.000
Pb  0.500  0.500  0.500

***

no.,size of the total moment (μB/f.u.),D(E_F) (states/eV/atom)
1,3.5,1.37
2,0.0,0.65